1.
Computed, not measured: a crystal of RbCrH2 relaxed with PBEsol at the SCAN level of DFT.

Summary:
uncorrected energy	-184.3	eV per cell
crystal system	tetragonal

Cell: 5.8169 5.8169 7.8680 Å, 90.00 90.00 90.00°
Space group I-42d (No. 122)
Inequivalent atoms, fractional coordinates:
Rb: 0.0000 0.0000 0.0000
Cr: 0.0000 0.0000 0.5000
H: 0.1062 0.2500 0.6250

2.
Computed, not measured: a crystal of LaSc2Cd relaxed with PBEsol at the SCAN level of DFT.

Summary:
E_form	-44	kJ/mol of formula units
crystal system	orthorhombic

Cell: 3.3723 4.5258 6.6022 Å, 90.00 90.00 90.00°
Space group Pmm2 (No. 25)
Inequivalent atoms, fractional coordinates:
La: 0.0000 0.0000 0.0000
Sc: 0.0000 0.0000 0.5124
Sc: 0.5000 0.5000 0.2881
Cd: 0.5000 0.5000 0.7383

3.
Computed, not measured: a crystal of Na2NbH relaxed with PBEsol at the SCAN level of DFT.

Summary:
uncorrected energy	-157.9	eV per cell
crystal system	cubic

Cell: 7.2071 7.2071 7.2071 Å, 90.00 90.00 90.00°
Space group Fm-3m (No. 225)
Inequivalent atoms, fractional coordinates:
Na: 0.2500 0.2500 0.2500
Nb: 0.0000 0.0000 0.0000
H: 0.0000 0.0000 0.5000

4.
Computed, not measured: a crystal of HgTeAu2 relaxed with PBEsol at the SCAN level of DFT.

Summary:
formation energy (no corrections)	300	meV per atom
crystal system	cubic

Cell: 6.9210 6.9210 6.9210 Å, 90.00 90.00 90.00°
Space group F-43m (No. 216)
Inequivalent atoms, fractional coordinates:
Hg: 0.0000 0.0000 0.0000
Te: 0.2500 0.2500 0.2500
Au: 0.0000 0.0000 0.5000
Au: 0.2500 0.2500 0.7500